MnV2Cr6 | Alexandria | PBE | relaxed; theoretical density = 7.32 g/cm3; energy relative to the elements = -0.70 eV per formula unit; DOS(E_F) = 5.19 states/eV/f.u.; energy = -9.5385 eV per atom
1.0
2.835 0.000 0.450
1.257 4.430 1.233
0.109 -0.081 8.467
Mn V Cr
1 2 6
Direct
0.000 0.000 0.000
0.336 0.108 0.221
0.664 0.892 0.779
0.667 0.556 0.110
0.333 0.444 0.890
0.335 0.777 0.554
0.002 0.662 0.334
0.998 0.338 0.666
0.665 0.223 0.446